! PBE AcGdErIn, relaxed; values from VASP
&SYSTEM
  ibrav = 0, nat = 4, ntyp = 4
/
ATOMIC_SPECIES
Ac 227.00 Ac.upf
Gd 157.25 Gd.upf
Er 167.26 Er.upf
In 114.82 In.upf
CELL_PARAMETERS angstrom
0.0000 4.0008 4.0008
4.0008 0.0000 4.0008
4.0008 4.0008 0.0000
ATOMIC_POSITIONS angstrom
Ac 0.0000 0.0000 0.0000
Gd 4.0008 4.0008 4.0008
Er 2.0004 2.0004 2.0004
In 6.0012 6.0012 6.0012
! Space-group type: F-43m, No. 216
! Total DFT energy (no corrections): -26.0 eV/cell
! Total magnetization: 8.31 μB/f.u.
! Energy of formation: -0.48 eV per formula unit

=====

! PBE Y12Al4InN3, relaxed; values from VASP
&SYSTEM
  ibrav = 0, nat = 20, ntyp = 4
/
ATOMIC_SPECIES
Y 88.91 Y.upf
Al 26.98 Al.upf
In 114.82 In.upf
N 14.01 N.upf
CELL_PARAMETERS angstrom
-4.9895 4.9895 4.9895
4.9895 -4.9895 4.9895
4.9895 4.9895 -4.9895
ATOMIC_POSITIONS angstrom
Y 2.7347 0.0000 0.0000
Y 7.2443 0.0000 0.0000
Y 4.9895 2.4947 0.0000
Y 4.9895 0.0000 2.4947
Y 0.0000 2.7347 0.0000
Y 0.0000 0.0000 2.7347
Y 2.4947 4.9895 0.0000
Y 2.4947 0.0000 4.9895
Y 0.0000 7.2443 0.0000
Y 0.0000 0.0000 7.2443
Y 0.0000 4.9895 2.4947
Y 0.0000 2.4947 4.9895
Al 2.4947 2.4947 -2.4947
Al 2.4947 -2.4947 2.4947
Al -2.4947 2.4947 2.4947
Al 2.4947 2.4947 2.4947
In 0.0000 0.0000 0.0000
N 4.9895 0.0000 0.0000
N 0.0000 4.9895 0.0000
N 0.0000 0.0000 4.9895
! Space-group type: Im-3m, No. 229
! Total DFT energy (no corrections): -131.0 eV/cell
! Total magnetization: 0.00 μB/f.u.
! Formation energy without anion corrections: -10.76 eV per formula unit

=====

Which of these has the highest total magnetization? AcGdErIn

=====

Which formula does entry 1 have? AcGdErIn